# 1
ZrBi3Ir PBE optimized geometry; uncorrected energy = -4.59 eV/atom; SG = Pm-3m; crystal system = cubic
1.0
5.5557 0.0000 0.0000
0.0000 5.5557 0.0000
0.0000 0.0000 5.5557
Zr Bi Ir
1 3 1
direct
0.0000 0.0000 0.0000
0.0000 0.0000 0.5000
0.0000 0.5000 0.0000
0.5000 0.0000 0.0000
0.5000 0.5000 0.5000

---

# 2
ZrBiIr3 PBE optimized geometry; uncorrected energy = -6.57 eV/atom; SG = Pm-3m; crystal system = cubic
1.0
4.9103 0.0000 0.0000
0.0000 4.9103 0.0000
0.0000 0.0000 4.9103
Zr Bi Ir
1 1 3
direct
0.0000 0.0000 0.0000
0.5000 0.5000 0.5000
0.0000 0.0000 0.5000
0.0000 0.5000 0.0000
0.5000 0.0000 0.0000

---

# 3
ZrBi3Ir PBE optimized geometry; uncorrected energy = -5.10 eV/atom; SG = Pm-3m; crystal system = cubic
1.0
5.3219 0.0000 0.0000
0.0000 5.3219 0.0000
0.0000 0.0000 5.3219
Zr Bi Ir
1 3 1
direct
0.0000 0.0000 0.0000
0.0000 0.5000 0.5000
0.5000 0.0000 0.5000
0.5000 0.5000 0.0000
0.5000 0.5000 0.5000

---

# 4
K3Bi PBE optimized geometry; uncorrected energy = -2.17 eV/atom; SG = P6_3/mmc; crystal system = hexagonal
1.0
6.2188 0.0000 0.0000
-3.1094 5.3857 0.0000
0.0000 0.0000 11.0691
K Bi
6 2
direct
0.0000 0.0000 0.2500
0.0000 0.0000 0.7500
0.3333 0.6667 0.0807
0.3333 0.6667 0.4193
0.6667 0.3333 0.5807
0.6667 0.3333 0.9193
0.3333 0.6667 0.7500
0.6667 0.3333 0.2500

---

Copy entry 4 word for word.
K3Bi PBE optimized geometry; uncorrected energy = -2.17 eV/atom; SG = P6_3/mmc; crystal system = hexagonal
1.0
6.2188 0.0000 0.0000
-3.1094 5.3857 0.0000
0.0000 0.0000 11.0691
K Bi
6 2
direct
0.0000 0.0000 0.2500
0.0000 0.0000 0.7500
0.3333 0.6667 0.0807
0.3333 0.6667 0.4193
0.6667 0.3333 0.5807
0.6667 0.3333 0.9193
0.3333 0.6667 0.7500
0.6667 0.3333 0.2500